No. 1
## BeSiCl2 (PBE)

Data for a geometry-optimized BeSiCl2 structure.

Cell lengths 3.7495, 4.4229, 4.4229 Å; angles 90.00, 90.00, 90.00 degrees
Closest atoms and distances in Å follow each position.
Fractional coordinates of all 4 atoms:
Be 0.5000 0.0000 0.5000  8 Cl 2.90, 4 Si 3.13
Si 0.5000 0.5000 0.0000  8 Cl 2.90, 4 Be 3.13
Cl 0.0000 0.0000 0.0000  4 Be 2.90, 4 Si 2.90, 4 Cl 3.13
Cl 0.0000 0.5000 0.5000  4 Be 2.90, 4 Si 2.90, 4 Cl 3.13

## Properties
Space-group type: P4/mmm, No. 123
Formation energy without anion corrections, meV per atom: 644
D(E_F), states/eV/cell: 2.32
Energy relative to the lowest polymorph listed for this composition, meV per atom: 1012
Calculated total energy, eV/f.u.: -10.27


No. 2
## InPb3Cl (PBE)

Data for a geometry-optimized InPb3Cl structure.

Cell lengths 5.8651, 5.8651, 5.8651 Å; angles 90.00, 90.00, 90.00 degrees
Closest atoms and distances in Å follow each position.
Fractional coordinates of all 5 atoms:
Pb 0.0000 0.5000 0.0000  2 In 2.93
Pb 0.0000 0.0000 0.5000  2 In 2.93
Pb 0.5000 0.0000 0.0000  2 In 2.93
Cl 0.5000 0.5000 0.5000  12 Pb 4.15
In 0.0000 0.0000 0.0000  6 Pb 2.93

## Properties
Space-group type: Pm-3m, No. 221
Formation energy without anion corrections, meV per atom: 297
D(E_F), states/eV/cell: 3.07
Energy relative to the lowest polymorph listed for this composition, meV per atom: 85
Calculated total energy, eV/f.u.: -14.22


No. 3
## BePtPbO5 (PBE)

Data for a geometry-optimized BePtPbO5 structure.

Cell lengths 5.2698, 5.2698, 8.2540 Å; angles 104.23, 104.23, 105.51 degrees
Closest atoms and distances in Å follow each position.
Fractional coordinates of all 16 atoms:
Be 0.6893 0.3107 0.2500  4 O 1.66-1.67
Be 0.3107 0.6893 0.7500  4 O 1.66-1.67
Pt 0.3504 0.6496 0.2500  5 O 1.91-2.04
Pt 0.6496 0.3504 0.7500  5 O 1.91-2.04
Pb 0.0000 0.0000 0.5000  6 O 2.19-2.31
Pb 0.0000 0.0000 0.0000  6 O 2.19-2.31
O 0.1228 0.8772 0.2500  1 Pt 1.91
O 0.8772 0.1228 0.7500  1 Pt 1.91
O 0.9826 0.3488 0.2009  1 Be 1.67
O 0.0174 0.6512 0.7991  1 Be 1.67
O 0.6512 0.0174 0.2991  1 Be 1.67
O 0.3488 0.9826 0.7009  1 Be 1.67
O 0.6786 0.5790 0.3996  1 Be 1.66
O 0.3214 0.4210 0.6004  1 Be 1.66
O 0.4210 0.3214 0.1004  1 Be 1.66
O 0.5790 0.6786 0.8996  1 Be 1.66

## Properties
Space-group type: C2/c, No. 15
Formation energy without anion corrections, meV per atom: -951
Calculated total energy, eV/f.u.: -45.87


No. 4
## Tl2ReAg (PBE)

Data for a geometry-optimized Tl2ReAg structure.

Cell lengths 2.9414, 2.9414, 10.2410 Å; angles 90.00, 90.00, 90.00 degrees
Closest atoms and distances in Å follow each position.
Fractional coordinates of all 4 atoms:
Re 0.5000 0.5000 0.7259  4 Ag 2.85, 4 Re 2.94, 4 Tl 3.16
Tl 0.0000 0.0000 0.9578  4 Tl 2.94, 4 Re 3.16
Tl 0.5000 0.5000 0.2809  4 Tl 2.94
Ag 0.0000 0.0000 0.5355  4 Re 2.85, 4 Ag 2.94

## Properties
Space-group type: P4mm, No. 99
D(E_F), states/eV/cell: 4.39
Energy of formation from the pure elements, eV per atom: 0.7680
Energy relative to the lowest polymorph listed for this composition, meV per atom: 30
Calculated total energy, eV/f.u.: -16.96


No. 5
## Ho3Al5Cu (PBE)

Data for a geometry-optimized Ho3Al5Cu structure.

Cell lengths 4.3347, 6.9567, 6.9567 Å; angles 120.00, 90.00, 90.00 degrees
Closest atoms and distances in Å follow each position.
Fractional coordinates of all 9 atoms:
Ho 0.0000 0.0000 0.4108  1 Cu 2.86, 4 Al 3.02
Ho 0.0000 0.4108 0.0000  1 Cu 2.86, 4 Al 3.02
Ho 0.0000 0.5892 0.5892  1 Cu 2.86, 4 Al 3.02
Al 0.5000 0.6667 0.3333  3 Al 2.72, 6 Ho 3.02
Al 0.5000 0.3333 0.6667  3 Al 2.72, 6 Ho 3.02
Al 0.5000 0.2355 0.2355  2 Cu 2.72, 4 Al 2.72-2.84
Al 0.5000 0.7645 0.0000  2 Cu 2.72, 4 Al 2.72-2.84
Al 0.5000 0.0000 0.7645  2 Cu 2.72, 4 Al 2.72-2.84
Cu 0.0000 0.0000 0.0000  6 Al 2.72, 3 Ho 2.86

## Properties
Space-group type: P-62m, No. 189
D(E_F), states/eV/cell: 4.07
Energy of formation from the pure elements, eV per atom: -0.4870
Calculated total energy, eV/f.u.: -40.93


No. 6
## AcTiIr (PBE)

Data for a geometry-optimized AcTiIr structure.

Cell lengths 4.4551, 4.4551, 7.2857 Å; angles 90.00, 90.00, 90.00 degrees
Closest atoms and distances in Å follow each position.
Fractional coordinates of all 6 atoms:
Ac 0.0000 0.5000 0.8557  5 Ir 3.40-3.41, 4 Ti 3.42, 4 Ac 3.79
Ac 0.5000 0.0000 0.1443  5 Ir 3.40-3.41, 4 Ti 3.42, 4 Ac 3.79
Ir 0.0000 0.5000 0.3221  4 Ti 2.58
Ir 0.5000 0.0000 0.6779  4 Ti 2.58
Ti 0.5000 0.5000 0.5000  4 Ir 2.58
Ti 0.0000 0.0000 0.5000  4 Ir 2.58

## Properties
Space-group type: P4/nmm, No. 129
D(E_F), states/eV/cell: 7.95
Energy of formation from the pure elements, eV per atom: -0.5980
Calculated total energy, eV/f.u.: -22.66


No. 7
## Cu2Ir (PBE)

Data for a geometry-optimized Cu2Ir structure.

Cell lengths 4.7546, 4.7546, 4.7546 Å; angles 60.00, 60.00, 60.00 degrees
Closest atoms and distances in Å follow each position.
Fractional coordinates of all 6 atoms:
Cu 0.6250 0.6250 0.6250  6 Cu 2.38
Cu 0.1250 0.6250 0.6250  6 Cu 2.38
Cu 0.6250 0.1250 0.6250  6 Cu 2.38
Cu 0.6250 0.6250 0.1250  6 Cu 2.38
Ir 0.0000 0.0000 0.0000  12 Cu 2.79, 4 Ir 2.91
Ir 0.2500 0.2500 0.2500  12 Cu 2.79, 4 Ir 2.91

## Properties
Space-group type: Fd-3m, No. 227
D(E_F), states/eV/cell: 6.09
Energy of formation from the pure elements, eV per atom: 0.2362
Energy relative to the lowest polymorph listed for this composition, meV per atom: 184
Calculated total energy, eV/f.u.: -16.34


No. 8
## SrYCd2 (PBE)

Data for a geometry-optimized SrYCd2 structure.

Cell lengths 3.8983, 3.8957, 7.7898 Å; angles 90.00, 90.00, 90.00 degrees
Closest atoms and distances in Å follow each position.
Fractional coordinates of all 4 atoms:
Y 0.5000 0.5000 0.7500  8 Cd 3.24
Sr 0.5000 0.5000 0.2500  8 Cd 3.53, 2 Y 3.89, 4 Sr 3.90
Cd 0.0000 0.0000 0.9676  4 Y 3.24, 1 Cd 3.39, 4 Sr 3.53
Cd 0.0000 0.0000 0.5324  4 Y 3.24, 1 Cd 3.39, 4 Sr 3.53

## Properties
Space-group type: P4/mmm, No. 123
D(E_F), states/eV/cell: 3.23
Energy of formation from the pure elements, eV per atom: -0.3309
Calculated total energy, eV/f.u.: -11.30